The following is a DFT calculation (GGA-PBE) of a relaxed structure of PmAgAs2. Values from VASP.

Summary:
**Offset from the most stable computed form**: 0.000 eV per formula unit
**Energy of formation**: -774 meV/atom
**Final energy**: -5.00 eV/atom
**Total magnetization**: 0.0 μB per cell

Structure (Quantum ESPRESSO input):
```
&SYSTEM
  ibrav = 0, nat = 16, ntyp = 3
/
ATOMIC_SPECIES
Pm 145.00 Pm.upf
Ag 107.87 Ag.upf
As 74.92 As.upf
ATOMIC_POSITIONS crystal
Pm 0.2500 0.7307 0.6149
Pm 0.7500 0.2307 0.8851
Pm 0.7500 0.2693 0.3851
Pm 0.2500 0.7693 0.1149
Ag 0.2500 0.2288 0.7499
Ag 0.7500 0.7288 0.7501
Ag 0.7500 0.7712 0.2501
Ag 0.2500 0.2712 0.2499
As 0.2500 0.2065 0.5015
As 0.7500 0.7065 0.9985
As 0.7500 0.7935 0.4985
As 0.2500 0.2935 0.0015
As 0.2500 0.7301 0.8404
As 0.7500 0.2301 0.6596
As 0.7500 0.2699 0.1596
As 0.2500 0.7699 0.3404
CELL_PARAMETERS angstrom
-1.2129 -1.2991 -3.6451
0.3603 -3.8575 1.2550
-20.0875 0.2673 6.5886
```